Entry from Alexandria via LeMat-Bulk: crystalline LaTb12Pr6 at its relaxed geometry (PBE).

Output
ΔE_f in eV/atom: 0.2013
Distance to the lowest polymorph of the same formula in kJ/mol of atoms: 8.86
DOS at the Fermi energy in states/eV/atom: 1.61

```
data_LaTb12Pr6
_cell_length_a 13.4216
_cell_length_b 13.4216
_cell_length_c 12.7496
_cell_angle_alpha 90.00
_cell_angle_beta 90.00
_cell_angle_gamma 120.00
_space_group_name_H-M_alt 'R -3 m'
_space_group_IT_number 166
_space_group_name_Hall '-R 3 2"'
loop_
_atom_site_label
_atom_site_type_symbol
_atom_site_fract_x
_atom_site_fract_y
_atom_site_fract_z
_atom_site_occupancy
La1 La 0.0000 0.0000 0.0000 1
Tb1 Tb 0.0000 0.2569 0.5000 1
Tb2 Tb 0.0918 0.1836 0.2648 1
Pr1 Pr 0.0374 0.5187 0.6177 1
```

Entry from Alexandria via LeMat-Bulk: crystalline La7Tb4Pr2 at its relaxed geometry (PBE).

Output
ΔE_f in eV/atom: 0.1484
DOS at the Fermi energy in states/eV/atom: 1.47

```
data_La7Tb4Pr2
_cell_length_a 6.3364
_cell_length_b 6.3364
_cell_length_c 13.1823
_cell_angle_alpha 90.00
_cell_angle_beta 90.00
_cell_angle_gamma 120.00
_space_group_name_H-M_alt 'P -3 1 m'
_space_group_IT_number 162
_space_group_name_Hall '-P 3 2'
loop_
_atom_site_label
_atom_site_type_symbol
_atom_site_fract_x
_atom_site_fract_y
_atom_site_fract_z
_atom_site_occupancy
La1 La 0.0000 0.0000 0.0000 1
La2 La 0.0000 0.3814 0.2312 1
Tb1 Tb 0.0000 0.0000 0.3898 1
Tb2 Tb 0.3333 0.6667 0.5000 1
Pr1 Pr 0.3333 0.6667 0.0000 1
```

Entry from Alexandria via LeMat-Bulk: crystalline La3TbPr12 at its relaxed geometry (PBE).

Output
ΔE_f in eV/atom: 0.0105
DOS at the Fermi energy in states/eV/atom: 1.68

```
data_La3TbPr12
_cell_length_a 5.2500
_cell_length_b 5.2500
_cell_length_c 20.9750
_cell_angle_alpha 90.00
_cell_angle_beta 90.00
_cell_angle_gamma 90.00
_space_group_name_H-M_alt 'P 4/m m m'
_space_group_IT_number 123
_space_group_name_Hall '-P 4 2'
loop_
_atom_site_label
_atom_site_type_symbol
_atom_site_fract_x
_atom_site_fract_y
_atom_site_fract_z
_atom_site_occupancy
La1 La 0.0000 0.0000 0.0000 1
La2 La 0.0000 0.0000 0.2509 1
Tb1 Tb 0.0000 0.0000 0.5000 1
Pr1 Pr 0.0000 0.5000 0.1253 1
Pr2 Pr 0.0000 0.5000 0.3771 1
Pr3 Pr 0.5000 0.5000 0.0000 1
Pr4 Pr 0.5000 0.5000 0.2519 1
Pr5 Pr 0.5000 0.5000 0.5000 1
```

Entry from Alexandria via LeMat-Bulk: crystalline La3Tb8Pr3 at its relaxed geometry (PBE).

Output
ΔE_f in eV/atom: 0.0995
DOS at the Fermi energy in states/eV/atom: 1.51

```
data_La3Tb8Pr3
_cell_length_a 12.3440
_cell_length_b 15.4367
_cell_length_c 5.7643
_cell_angle_alpha 90.00
_cell_angle_beta 117.79
_cell_angle_gamma 90.00
_space_group_name_H-M_alt 'C 1 2/m 1'
_space_group_IT_number 12
_space_group_name_Hall '-C 2y'
loop_
_atom_site_label
_atom_site_type_symbol
_atom_site_fract_x
_atom_site_fract_y
_atom_site_fract_z
_atom_site_occupancy
La1 La 0.0000 0.0000 0.0000 1
La2 La 0.0000 0.1873 0.5000 1
Tb1 Tb 0.1603 0.3977 0.6600 1
Tb2 Tb 0.1618 0.2803 0.1615 1
Pr1 Pr 0.0000 0.5000 0.0000 1
Pr2 Pr 0.1977 0.0000 0.6987 1
```

Question: The lowest ΔE_f belongs to which entry?
Answer: La3TbPr12